Here is a geometry-optimized NdY5Tm4 structure from Alexandria via LeMat-Bulk. Energies are from PBE.

Computed properties:
SG: I4, No. 79
Density of states at the Fermi level in states/eV/f.u.: 14.732
Excess energy over the best structure of this formula in the dataset in meV per atom: 264

Cell lengths 6.3224, 7.8542, 7.8542 Å; angles 80.68, 66.27, 66.27 degrees
Element x y z (fractional)
Y  0.7144  0.0915  0.3807
Y  0.8060  0.3807  0.9085
Y  0.1867  0.9085  0.6193
Y  0.6754  0.0000  0.0000
Y  0.0951  0.6193  0.0915
Tm  0.4008  0.4029  0.7007
Tm  0.5044  0.5971  0.2993
Tm  0.1015  0.2993  0.4029
Tm  0.8037  0.7007  0.5971
Nd  0.2223  0.0000  0.0000